The following is a DFT calculation (PBE) of a relaxed LaAl2GaCu crystal.

Output
- ΔH_f (0 K): 1.188 eV per atom
- Symmetry: P4/mmm, No. 123
- Fermi-level density of states: 4.2 states/eV/f.u.

Lattice parameters (Å, degrees): 6.047 5.279 6.047 90.00 90.00 90.00
Fractional positions:
Al: 0.000 0.000 0.500
Al: 0.500 0.000 0.000
Cu: 0.000 0.500 0.000
Ga: 0.500 0.500 0.500
La: 0.000 0.000 0.000